# RbCrSn2F8 | Alexandria | PBE+U | optimized geometry
data_RbCrSn2F8
_chemical_formula_sum 'Rb1 Cr1 Sn2 F8'
_space_group_name_H-M_alt 'P -1'
_space_group_IT_number 2
_cell_length_a 5.2919
_cell_length_b 5.5329
_cell_length_c 7.6686
_cell_angle_alpha 85.77
_cell_angle_beta 88.72
_cell_angle_gamma 85.40
loop_
_space_group_symop_operation_xyz
'x,y,z'
'-x,-y,-z'
loop_
_atom_site_label
_atom_site_type_symbol
_atom_site_fract_x
_atom_site_fract_y
_atom_site_fract_z
Rb1 Rb 0.0000 0.0000 0.0000
Cr1 Cr 0.0000 0.0000 0.5000
Sn1 Sn 0.4873 0.4760 0.2707
F1 F 0.1593 0.7868 0.3292
F2 F 0.2182 0.2566 0.4177
F3 F 0.2469 0.8812 0.6813
F4 F 0.3136 0.3594 0.0531
# Total DFT energy (no corrections)   -5.15 eV per atom
# Spin magnetization   3.0 μB per cell